#P
Entry from Alexandria: LaCBr2 after structural relaxation (GGA-PBE).

D(E_F): 0.00 states/eV per cell
volume: 24.160 Å³ per atom

Cell and atoms, written as CIF:
```
data_LaCBr2
_chemical_formula_sum 'La4 C4 Br8'
_space_group_name_H-M_alt 'F m -3 m'
_space_group_IT_number 225
_space_group_name_Hall '-F 4 2 3'
_cell_length_a 7.2846
_cell_length_b 7.2846
_cell_length_c 7.2846
_cell_angle_alpha 90.00
_cell_angle_beta 90.00
_cell_angle_gamma 90.00
loop_
_atom_site_label
_atom_site_type_symbol
_atom_site_fract_x
_atom_site_fract_y
_atom_site_fract_z
_atom_site_occupancy
La1 La 0.0000 0.0000 0.0000 1
C1 C 0.0000 0.0000 0.5000 1
Br1 Br 0.2500 0.2500 0.2500 1
```

#Q
Entry from Alexandria: LaCBr2 after structural relaxation (GGA-PBE).

D(E_F): 13.52 states/eV per cell
volume: 28.529 Å³ per atom

Cell and atoms, written as CIF:
```
data_LaCBr2
_chemical_formula_sum 'La3 C3 Br6'
_space_group_name_H-M_alt 'R -3 m'
_space_group_IT_number 166
_space_group_name_Hall '-R 3 2"'
_cell_length_a 3.9179
_cell_length_b 3.9179
_cell_length_c 25.7532
_cell_angle_alpha 90.00
_cell_angle_beta 90.00
_cell_angle_gamma 120.00
loop_
_atom_site_label
_atom_site_type_symbol
_atom_site_fract_x
_atom_site_fract_y
_atom_site_fract_z
_atom_site_occupancy
La1 La 0.0000 0.0000 0.0000 1
C1 C 0.0000 0.0000 0.5000 1
Br1 Br 0.0000 0.0000 0.1124 1
```

#R
Entry from Alexandria: LaCBr2 after structural relaxation (GGA-PBE).

D(E_F): 6.32 states/eV per cell
volume: 25.702 Å³ per atom

Cell and atoms, written as CIF:
```
data_LaCBr2
_chemical_formula_sum 'La4 C4 Br8'
_space_group_name_H-M_alt 'I -4 2 d'
_space_group_IT_number 122
_space_group_name_Hall 'I -4 2bw'
_cell_length_a 4.5703
_cell_length_b 4.5703
_cell_length_c 19.6879
_cell_angle_alpha 90.00
_cell_angle_beta 90.00
_cell_angle_gamma 90.00
loop_
_atom_site_label
_atom_site_type_symbol
_atom_site_fract_x
_atom_site_fract_y
_atom_site_fract_z
_atom_site_occupancy
La1 La 0.0000 0.0000 0.0000 1
C1 C 0.0000 0.0000 0.5000 1
Br1 Br 0.2400 0.2500 0.6250 1
```

In order of decreasing stability: #P, #R, #Q.

#P
Entry from Alexandria: LaC2Br after structural relaxation (GGA-PBE).

D(E_F): 1.43 states/eV per cell
volume: 21.037 Å³ per atom

Cell and atoms, written as CIF:
```
data_LaC2Br
_chemical_formula_sum 'La4 C8 Br4'
_space_group_name_H-M_alt 'I -4 2 d'
_space_group_IT_number 122
_space_group_name_Hall 'I -4 2bw'
_cell_length_a 5.3328
_cell_length_b 5.3328
_cell_length_c 11.8356
_cell_angle_alpha 90.00
_cell_angle_beta 90.00
_cell_angle_gamma 90.00
loop_
_atom_site_label
_atom_site_type_symbol
_atom_site_fract_x
_atom_site_fract_y
_atom_site_fract_z
_atom_site_occupancy
La1 La 0.0000 0.0000 0.0000 1
C1 C 0.2117 0.2500 0.6250 1
Br1 Br 0.0000 0.0000 0.5000 1
```

#Q
Entry from Alexandria: LaC2Br after structural relaxation (GGA-PBE).

D(E_F): 18.54 states/eV per cell
volume: 16.627 Å³ per atom

Cell and atoms, written as CIF:
```
data_LaC2Br
_chemical_formula_sum 'La4 C8 Br4'
_space_group_name_H-M_alt 'F m -3 m'
_space_group_IT_number 225
_space_group_name_Hall '-F 4 2 3'
_cell_length_a 6.4314
_cell_length_b 6.4314
_cell_length_c 6.4314
_cell_angle_alpha 90.00
_cell_angle_beta 90.00
_cell_angle_gamma 90.00
loop_
_atom_site_label
_atom_site_type_symbol
_atom_site_fract_x
_atom_site_fract_y
_atom_site_fract_z
_atom_site_occupancy
La1 La 0.0000 0.0000 0.0000 1
C1 C 0.2500 0.2500 0.2500 1
Br1 Br 0.0000 0.0000 0.5000 1
```

In order of decreasing stability: #Q, #P.